[1]
The following is a DFT calculation (PBE-GGA) of an optimized crystal structure of TmSc2GeC.

Unit cell a=4.4694 b=4.4694 c=4.7144 alpha=90.00 beta=90.00 gamma=90.00
Fractional positions:
1 Tm 0.0000 0.0000 0.0000
2 Sc 0.0000 0.5000 0.5000
3 Sc 0.5000 0.0000 0.5000
4 Ge 0.5000 0.5000 0.0000
5 C 0.0000 0.0000 0.5000

Computed properties:
E_form = -0.6844 eV per atom

[2]
The following is a DFT calculation (PBE-GGA) of an optimized crystal structure of Sc2V2Ge2C.

Unit cell a=7.5593 b=7.5593 c=7.5593 alpha=149.55 beta=149.55 gamma=43.60
Fractional positions:
1 Sc 0.1638 0.1638 0.0000
2 Sc 0.8362 0.8362 0.0000
3 V 0.0000 0.5000 0.5000
4 V 0.5000 0.0000 0.5000
5 Ge 0.3691 0.3691 0.0000
6 Ge 0.6309 0.6309 0.0000
7 C 0.0000 0.0000 0.0000

Computed properties:
E_form = -0.6823 eV per atom

[3]
The following is a DFT calculation (PBE-GGA) of an optimized crystal structure of Sc2GeWC.

Unit cell a=5.1450 b=5.1450 c=3.6540 alpha=90.00 beta=90.00 gamma=90.00
Fractional positions:
1 Sc 0.0000 0.5000 0.0000
2 Sc 0.5000 0.0000 0.0000
3 Ge 0.0000 0.0000 0.0000
4 W 0.5000 0.5000 0.5000
5 C 0.0000 0.0000 0.5000

Computed properties:
E_form = 1.3785 eV per atom

[4]
The following is a DFT calculation (PBE-GGA) of an optimized crystal structure of Y2ScGeC.

Unit cell a=4.8265 b=4.8265 c=4.4872 alpha=90.00 beta=90.00 gamma=90.00
Fractional positions:
1 Y 0.0000 0.5000 0.0000
2 Y 0.5000 0.0000 0.0000
3 Sc 0.0000 0.0000 0.5000
4 Ge 0.5000 0.5000 0.5000
5 C 0.0000 0.0000 0.0000

Computed properties:
E_form = -0.6092 eV per atom

[5]
The following is a DFT calculation (PBE-GGA) of an optimized crystal structure of Y2ScGeC.

Unit cell a=5.6152 b=5.6152 c=3.9534 alpha=90.00 beta=90.00 gamma=90.00
Fractional positions:
1 Y 0.0000 0.5000 0.0000
2 Y 0.5000 0.0000 0.0000
3 Sc 0.0000 0.0000 0.0000
4 Ge 0.5000 0.5000 0.5000
5 C 0.0000 0.0000 0.5000

Computed properties:
E_form = 0.9747 eV per atom

[6]
The following is a DFT calculation (PBE-GGA) of an optimized crystal structure of ZrSc2GeC.

Unit cell a=4.4333 b=4.4333 c=4.5217 alpha=90.00 beta=90.00 gamma=90.00
Fractional positions:
1 Zr 0.0000 0.0000 0.0000
2 Sc 0.0000 0.5000 0.5000
3 Sc 0.5000 0.0000 0.5000
4 Ge 0.5000 0.5000 0.0000
5 C 0.0000 0.0000 0.5000

Computed properties:
E_form = -0.6606 eV per atom

[7]
The following is a DFT calculation (PBE-GGA) of an optimized crystal structure of GeC2Se.

Unit cell a=4.0972 b=4.0972 c=4.0972 alpha=60.00 beta=60.00 gamma=60.00
Fractional positions:
1 Ge 0.0000 0.0000 0.0000
2 C 0.2500 0.2500 0.2500
3 C 0.7500 0.7500 0.7500
4 Se 0.5000 0.5000 0.5000

Computed properties:
E_tot = -16.88 eV for the cell shown

[8]
The following is a DFT calculation (PBE-GGA) of an optimized crystal structure of GeCSe2.

Unit cell a=4.5984 b=4.5984 c=4.5984 alpha=60.00 beta=60.00 gamma=60.00
Fractional positions:
1 Ge 0.0000 0.0000 0.0000
2 C 0.5000 0.5000 0.5000
3 Se 0.2500 0.2500 0.2500
4 Se 0.7500 0.7500 0.7500

Computed properties:
E_tot = -14.59 eV for the cell shown

Listing total magnetic moment for the structures above in their given order: 0.000, 0.000, 0.039, 0.000, 0.000, 0.000, 0.000, 0.000 μB/cell.